Tb6Y8Tm | PBE | relaxed

Cell lengths 9.3761, 9.3761, 6.6058 Å; angles 90.00, 90.00, 120.00 degrees
Space group P-3 (No. 147)
Asymmetric unit:
1 Tb 0.0840 0.6776 0.4032 (multiplicity 6)
2 Y 0.0242 0.3320 0.1068 (multiplicity 6)
3 Y 0.3333 0.6667 0.8264 (multiplicity 2)
4 Tm 0.0000 0.0000 0.5000 (multiplicity 1)

## Properties
Total magnetization   0.00 μB/cell
Formation energy from the elements   3.7 eV/f.u.
Density of states at the Fermi level   1.5374 states/eV per atom
Energy above the most stable polymorph in this dataset   0.0654 eV/atom